No. 1
{
  "formula": "FeCoNi2",
  "functional": "SCAN",
  "state": "PBEsol geometry",
  "e_tot_ev_per_atom": -17.0228,
  "space_group": "I-4m2",
  "cell": [[3.5042, 0.0000, 0.0000], [0.0000, 3.5042, 0.0000], [-1.7521, -1.7521, 3.4329]],
  "species": ["Fe", "Co", "Ni", "Ni"],
  "frac_coords": [[0.2500, 0.7500, 0.5000], [0.0000, 0.0000, 0.0000], [0.7500, 0.2500, 0.5000], [0.5000, 0.5000, 0.0000]]
}


No. 2
{
  "formula": "OsPt2Br",
  "functional": "SCAN",
  "state": "PBEsol geometry",
  "raw_formation_energy_ev_per_fu": 2.85,
  "space_group": "R3m",
  "cell": [[2.8746, 0.0000, 0.0000], [1.4373, 2.4895, 0.0000], [1.4373, 0.8298, 8.9297]],
  "species": ["Pt", "Br", "Pt", "Os"],
  "frac_coords": [[0.7449, 0.7449, 0.7654], [0.5085, 0.5085, 0.4744], [0.9949, 0.9949, 0.0152], [0.2517, 0.2517, 0.2450]]
}


No. 3
{
  "formula": "Ca2TcTe",
  "functional": "SCAN",
  "state": "PBEsol geometry",
  "raw_formation_energy_ev_per_fu": -0.81,
  "space_group": "Amm2",
  "cell": [[4.1867, 0.0000, 0.0000], [0.0000, 4.3615, 0.0000], [0.0000, -2.1807, 5.6242]],
  "species": ["Ca", "Tc", "Ca", "Te"],
  "frac_coords": [[0.0000, 0.1033, 0.2065], [0.0000, 0.8218, 0.6435], [0.5000, 0.3914, 0.7828], [0.5000, 0.6838, 0.3677]]
}


No. 4
{
  "formula": "Ce3TiAlS7",
  "functional": "SCAN",
  "state": "PBEsol geometry",
  "raw_formation_energy_ev_per_fu": -23.98,
  "space_group": "P6_3",
  "cell": [[6.1173, 0.0000, 0.0000], [0.0000, 9.6677, 0.0000], [0.0000, -4.8339, 8.3725]],
  "species": ["S", "S", "S", "S", "Ce", "Ce", "Ce", "Al", "Ti", "Ti", "S", "S", "S", "Ce", "S", "S", "S", "Al", "S", "S", "S", "Ce", "Ce", "S"],
  "frac_coords": [[0.9908, 0.4754, 0.5615], [0.4857, 0.3333, 0.6667], [0.4908, 0.9139, 0.4754], [0.9857, 0.6667, 0.3333], [0.7717, 0.8396, 0.2143], [0.2717, 0.6253, 0.8396], [0.2717, 0.2143, 0.3747], [0.8490, 0.3333, 0.6667], [0.4394, 0.0000, 0.0000], [0.9394, 0.0000, 0.0000], [0.6907, 0.1323, 0.2346], [0.6907, 0.7654, 0.8977], [0.9908, 0.0861, 0.5246], [0.7717, 0.3747, 0.1604], [0.1907, 0.8977, 0.1323], [0.4908, 0.5246, 0.4385], [0.4908, 0.5615, 0.0861], [0.3490, 0.6667, 0.3333], [0.1907, 0.8677, 0.7654], [0.6907, 0.1023, 0.8677], [0.1907, 0.2346, 0.1023], [0.7717, 0.7857, 0.6253], [0.2717, 0.1604, 0.7857], [0.9908, 0.4385, 0.9139]]
}


No. 5
{
  "formula": "LaSb2PbI",
  "functional": "SCAN",
  "state": "PBEsol geometry",
  "raw_formation_energy_ev_per_fu": 0.60,
  "space_group": "P4/mmm",
  "cell": [[5.9444, 0.0000, 0.0000], [0.0000, 5.9814, 0.0000], [0.0000, 0.0000, 5.9814]],
  "species": ["I", "La", "Sb", "Pb", "Sb"],
  "frac_coords": [[0.5000, 0.0000, 0.0000], [0.0000, 0.0000, 0.0000], [0.0000, 0.0000, 0.5000], [0.5000, 0.5000, 0.5000], [0.0000, 0.5000, 0.0000]]
}


No. 6
{
  "formula": "Cr2InPt",
  "functional": "SCAN",
  "state": "PBEsol geometry",
  "e_tot_ev_per_atom": -34.8936,
  "space_group": "Pmmm",
  "cell": [[-0.5222, -2.2833, -1.4206], [3.7535, 0.2445, -1.7727], [2.0520, -2.9217, 3.9418]],
  "species": ["In", "Cr", "Pt", "Cr"],
  "frac_coords": [[0.5000, 0.5000, 0.0000], [0.0000, 0.0000, 0.3142], [0.5000, 0.5000, 0.5000], [0.0000, 0.0000, 0.6858]]
}